Entry 1:
DFT (PBE) results for an optimized crystal structure of Ba2HgPb2. Values from VASP.

Summary:
The polymorph energy (0 for the lowest one) comes out at 300 meV/atom. For the formation energy, the calculation gives -0.234 eV/atom. As for the space group: No. 139.

```
&SYSTEM
  ibrav = 0, nat = 5, ntyp = 3
/
ATOMIC_SPECIES
Ba 137.33 Ba.upf
Hg 200.59 Hg.upf
Pb 207.20 Pb.upf
ATOMIC_POSITIONS crystal
Ba 0.250 0.750 0.500
Ba 0.750 0.250 0.500
Hg 0.000 0.000 0.000
Pb 0.338 0.338 0.000
Pb 0.662 0.662 0.000
CELL_PARAMETERS angstrom
-3.456 3.456 4.647
3.456 -3.456 4.647
3.456 3.456 -4.647
```

---

Entry 2:
DFT (PBE) results for an optimized crystal structure of BaZnP2. Values from VASP.

Summary:
For the formation energy, the calculation gives 0.132 eV/atom. As for the space group: No. 119.

```
&SYSTEM
  ibrav = 0, nat = 4, ntyp = 3
/
ATOMIC_SPECIES
Ba 137.33 Ba.upf
Zn 65.41 Zn.upf
P 30.97 P.upf
ATOMIC_POSITIONS crystal
Ba 0.000 0.000 0.000
Zn 0.750 0.250 0.500
P 0.250 0.750 0.500
P 0.500 0.500 0.000
CELL_PARAMETERS angstrom
-2.204 2.204 4.807
2.204 -2.204 4.807
2.204 2.204 -4.807
```

---

Entry 3:
DFT (PBE) results for an optimized crystal structure of RbCa2NiTe. Values from VASP.

Summary:
For the energy relative to the elements, uncorrected, the calculation gives -1.054 eV per formula unit. As for the space group: No. 123.

```
&SYSTEM
  ibrav = 0, nat = 5, ntyp = 4
/
ATOMIC_SPECIES
Rb 85.47 Rb.upf
Ca 40.08 Ca.upf
Ni 58.69 Ni.upf
Te 127.60 Te.upf
ATOMIC_POSITIONS crystal
Rb 0.000 0.000 0.000
Ca 0.000 0.500 0.500
Ca 0.500 0.000 0.500
Ni 0.000 0.000 0.500
Te 0.500 0.500 0.000
CELL_PARAMETERS angstrom
5.404 0.000 0.000
0.000 5.404 0.000
0.000 0.000 5.822
```

---

Entry 4:
DFT (PBE) results for an optimized crystal structure of LiTl2Si. Values from VASP.

Summary:
The polymorph energy (0 for the lowest one) comes out at 41 meV/atom. For the energy relative to the elements, uncorrected, the calculation gives 0.732 eV per formula unit. As for the space group: No. 44.

```
&SYSTEM
  ibrav = 0, nat = 4, ntyp = 3
/
ATOMIC_SPECIES
Li 6.94 Li.upf
Tl 204.38 Tl.upf
Si 28.09 Si.upf
ATOMIC_POSITIONS crystal
Li 0.000 0.000 0.000
Tl 0.257 0.757 0.500
Tl 0.542 0.542 0.000
Si 0.801 0.301 0.500
CELL_PARAMETERS angstrom
-1.693 2.506 5.406
1.693 -2.506 5.406
1.693 2.506 -5.406
```

---

Entry 5:
DFT (PBE) results for an optimized crystal structure of Li2NiOs. Values from VASP.

Summary:
The polymorph energy (0 for the lowest one) comes out at 62 meV/atom. For the formation energy, the calculation gives 0.111 eV/atom. As for the space group: No. 65.

```
&SYSTEM
  ibrav = 0, nat = 4, ntyp = 3
/
ATOMIC_SPECIES
Li 6.94 Li.upf
Ni 58.69 Ni.upf
Os 190.23 Os.upf
ATOMIC_POSITIONS crystal
Li 0.000 0.000 0.239
Li 0.000 0.000 0.761
Ni 0.500 0.500 0.000
Os 0.500 0.500 0.500
CELL_PARAMETERS angstrom
1.335 -2.203 0.000
1.335 2.203 0.000
0.000 0.000 8.814
```

---

Entry 6:
DFT (PBE) results for an optimized crystal structure of KTl3Re. Values from VASP.

Summary:
The polymorph energy (0 for the lowest one) comes out at 1584 meV/atom. For the formation energy, the calculation gives 1.899 eV/atom. As for the space group: No. 221.

```
&SYSTEM
  ibrav = 0, nat = 5, ntyp = 3
/
ATOMIC_SPECIES
K 39.10 K.upf
Tl 204.38 Tl.upf
Re 186.21 Re.upf
ATOMIC_POSITIONS crystal
K 0.000 0.000 0.000
Tl 0.000 0.000 0.500
Tl 0.000 0.500 0.000
Tl 0.500 0.000 0.000
Re 0.500 0.500 0.500
CELL_PARAMETERS angstrom
5.935 0.000 0.000
0.000 5.935 0.000
0.000 0.000 5.935
```